No. 1
A plane-wave DFT calculation with PBE was carried out for Pm5MgHg4 after structural relaxation.

Lattice parameters (Å, degrees): 3.836 3.836 18.923 90.00 90.00 90.00
Sites, in units of the cell vectors:
Pm (0.000, 0.000, 0.000)
Pm (0.000, 0.000, 0.199)
Pm (0.000, 0.000, 0.398)
Pm (0.000, 0.000, 0.602)
Pm (0.000, 0.000, 0.801)
Mg (0.500, 0.500, 0.500)
Hg (0.500, 0.500, 0.100)
Hg (0.500, 0.500, 0.303)
Hg (0.500, 0.500, 0.697)
Hg (0.500, 0.500, 0.900)

* calculated total energy: -3.055 eV per atom
* SG: P4/mmm
* spin magnetization: 1.7 Bohr magnetons per cell
* formation energy from the elements: -0.4000 eV per atom


No. 2
A plane-wave DFT calculation with PBE was carried out for BaBi2Se2 after structural relaxation.

Lattice parameters (Å, degrees): 8.818 8.818 8.818 150.49 150.49 42.22
Sites, in units of the cell vectors:
Ba (0.000, 0.000, 0.000)
Bi (0.250, 0.750, 0.500)
Bi (0.750, 0.250, 0.500)
Se (0.420, 0.420, 0.000)
Se (0.580, 0.580, 0.000)

* formation energy without anion corrections: -0.650 eV/atom
* calculated total energy: -3.981 eV per atom
* SG: I4/mmm
* spin magnetization: 0.0 Bohr magnetons per cell


No. 3
A plane-wave DFT calculation with PBE was carried out for LaCoHg2 after structural relaxation.

Lattice parameters (Å, degrees): 5.557 5.557 5.557 51.06 51.06 51.06
Sites, in units of the cell vectors:
La (0.000, 0.000, 0.000)
Co (0.163, 0.163, 0.163)
Hg (0.533, 0.533, 0.533)
Hg (0.778, 0.778, 0.778)

* calculated total energy: -3.239 eV per atom
* SG: R3m
* spin magnetization: 0.0 Bohr magnetons per cell
* formation energy from the elements: -0.0796 eV per atom


No. 4
A plane-wave DFT calculation with PBE was carried out for GdMg2Bi after structural relaxation.

Lattice parameters (Å, degrees): 11.809 11.809 11.809 16.52 16.52 16.52
Sites, in units of the cell vectors:
Gd (0.000, 0.000, 0.000)
Mg (0.091, 0.091, 0.091)
Mg (0.909, 0.909, 0.909)
Bi (0.500, 0.500, 0.500)

* calculated total energy: -5.124 eV per atom
* SG: R-3m
* spin magnetization: 7.3 Bohr magnetons per cell
* formation energy from the elements: 0.1634 eV per atom


No. 5
A plane-wave DFT calculation with PBE was carried out for AlPd4Pt3 after structural relaxation.

Lattice parameters (Å, degrees): 11.221 11.221 11.221 165.47 159.14 25.52
Sites, in units of the cell vectors:
Al (0.000, 0.000, 0.000)
Pd (0.094, 0.594, 0.500)
Pd (0.346, 0.846, 0.500)
Pd (0.654, 0.154, 0.500)
Pd (0.906, 0.406, 0.500)
Pt (0.219, 0.719, 0.500)
Pt (0.500, 0.500, 0.000)
Pt (0.781, 0.281, 0.500)

* calculated total energy: -5.543 eV per atom
* SG: Immm
* spin magnetization: 0.0 Bohr magnetons per cell
* formation energy from the elements: -0.2137 eV per atom


No. 6
A plane-wave DFT calculation with PBE was carried out for MgReAgMo2 after structural relaxation.

Lattice parameters (Å, degrees): 4.559 4.559 4.534 90.00 90.00 90.00
Sites, in units of the cell vectors:
Mg (0.000, 0.000, 0.000)
Re (0.000, 0.000, 0.500)
Ag (0.500, 0.500, 0.500)
Mo (0.000, 0.500, 0.000)
Mo (0.500, 0.000, 0.000)

* calculated total energy: -5.420 eV per atom
* SG: P4/mmm
* spin magnetization: 0.0 Bohr magnetons per cell
* formation energy from the elements: 2.2914 eV per atom


No. 7
A plane-wave DFT calculation with PBE was carried out for Tb6TlOs2 after structural relaxation.

Lattice parameters (Å, degrees): 8.556 8.556 8.556 112.71 111.12 104.69
Sites, in units of the cell vectors:
Tb (0.031, 0.241, 0.790)
Tb (0.185, 0.281, 0.466)
Tb (0.185, 0.719, 0.904)
Tb (0.331, 0.019, 0.688)
Tb (0.331, 0.643, 0.312)
Tb (0.451, 0.241, 0.210)
Tb (0.549, 0.759, 0.790)
Tb (0.669, 0.357, 0.688)
Tb (0.669, 0.981, 0.312)
Tb (0.815, 0.281, 0.096)
Tb (0.815, 0.719, 0.534)
Tb (0.969, 0.759, 0.210)
Tl (0.000, 0.000, 0.000)
Tl (0.500, 0.500, 0.000)
Os (0.119, 0.619, 0.500)
Os (0.334, 0.000, 0.334)
Os (0.666, 0.000, 0.666)
Os (0.881, 0.381, 0.500)

* calculated total energy: -6.111 eV per atom
* SG: Immm
* spin magnetization: 0.0 Bohr magnetons per cell
* formation energy from the elements: -0.2656 eV per atom


No. 8
A plane-wave DFT calculation with PBE was carried out for Cs2PaSe4 after structural relaxation.

Lattice parameters (Å, degrees): 8.195 4.385 8.663 90.00 114.18 90.00
Sites, in units of the cell vectors:
Cs (0.175, 0.000, 0.308)
Cs (0.825, 0.000, 0.692)
Pa (0.500, 0.500, 0.000)
Se (0.158, 0.500, 0.965)
Se (0.418, 0.000, 0.771)
Se (0.582, 0.000, 0.229)
Se (0.842, 0.500, 0.035)

* formation energy without anion corrections: -1.174 eV/atom
* calculated total energy: -4.765 eV per atom
* SG: P2/m
* spin magnetization: 0.0 Bohr magnetons per cell


No. 9
A plane-wave DFT calculation with PBE was carried out for GePbBr2 after structural relaxation.

Lattice parameters (Å, degrees): 10.293 10.293 10.293 21.00 21.00 21.00
Sites, in units of the cell vectors:
Ge (0.000, 0.000, 0.000)
Pb (0.500, 0.500, 0.500)
Br (0.398, 0.398, 0.398)
Br (0.602, 0.602, 0.602)

* formation energy without anion corrections: -0.170 eV/atom
* calculated total energy: -3.088 eV per atom
* SG: R-3m
* spin magnetization: 0.0 Bohr magnetons per cell


No. 10
A plane-wave DFT calculation with PBE was carried out for Sm2Ga3Ni4 after structural relaxation.

Lattice parameters (Å, degrees): 8.103 8.103 7.018 90.00 90.00 140.26
Sites, in units of the cell vectors:
Sm (0.106, 0.894, 0.915)
Sm (0.394, 0.606, 0.415)
Sm (0.606, 0.394, 0.585)
Sm (0.894, 0.106, 0.085)
Ga (0.000, 0.000, 0.500)
Ga (0.016, 0.484, 0.750)
Ga (0.484, 0.016, 0.250)
Ga (0.500, 0.500, 0.000)
Ga (0.516, 0.984, 0.750)
Ga (0.984, 0.516, 0.250)
Ni (0.172, 0.828, 0.509)
Ni (0.179, 0.321, 0.750)
Ni (0.321, 0.179, 0.250)
Ni (0.328, 0.672, 0.009)
Ni (0.672, 0.328, 0.991)
Ni (0.679, 0.821, 0.750)
Ni (0.821, 0.679, 0.250)
Ni (0.828, 0.172, 0.491)

* calculated total energy: -5.137 eV per atom
* SG: Cmce
* spin magnetization: 0.0 Bohr magnetons per cell
* formation energy from the elements: -0.5097 eV per atom


No. 11
A plane-wave DFT calculation with PBE was carried out for Si4HgTe after structural relaxation.

Lattice parameters (Å, degrees): 5.475 5.475 5.475 60.00 60.00 60.00
Sites, in units of the cell vectors:
Si (0.377, 0.377, 0.377)
Si (0.377, 0.377, 0.869)
Si (0.377, 0.869, 0.377)
Si (0.869, 0.377, 0.377)
Hg (0.750, 0.750, 0.750)
Te (0.000, 0.000, 0.000)

* formation energy without anion corrections: 0.621 eV/atom
* calculated total energy: -3.568 eV per atom
* SG: F-43m
* spin magnetization: 0.0 Bohr magnetons per cell


No. 12
A plane-wave DFT calculation with PBE was carried out for RbNaAuI after structural relaxation.

Lattice parameters (Å, degrees): 5.838 5.838 5.838 60.00 60.00 60.00
Sites, in units of the cell vectors:
Rb (0.000, 0.000, 0.000)
Na (0.500, 0.500, 0.500)
Au (0.250, 0.250, 0.250)
I (0.750, 0.750, 0.750)

* formation energy without anion corrections: -0.677 eV/atom
* calculated total energy: -2.455 eV per atom
* SG: F-43m
* spin magnetization: 0.0 Bohr magnetons per cell


No. 13
A plane-wave DFT calculation with PBE was carried out for NaRe3Ag after structural relaxation.

Lattice parameters (Å, degrees): 4.849 4.849 4.849 90.00 90.00 90.00
Sites, in units of the cell vectors:
Na (0.000, 0.000, 0.000)
Re (0.000, 0.500, 0.500)
Re (0.500, 0.000, 0.500)
Re (0.500, 0.500, 0.000)
Ag (0.500, 0.500, 0.500)

* calculated total energy: -5.262 eV per atom
* SG: Pm-3m
* spin magnetization: 2.3 Bohr magnetons per cell
* formation energy from the elements: 3.0410 eV per atom


No. 14
A plane-wave DFT calculation with PBE was carried out for Tb2Pm6Mg after structural relaxation.

Lattice parameters (Å, degrees): 10.727 10.727 5.119 90.00 90.00 90.00
Sites, in units of the cell vectors:
Tb (0.168, 0.168, 0.000)
Tb (0.332, 0.668, 0.500)
Tb (0.668, 0.332, 0.500)
Tb (0.832, 0.832, 0.000)
Pm (0.001, 0.332, 0.500)
Pm (0.164, 0.836, 0.000)
Pm (0.168, 0.501, 0.000)
Pm (0.332, 0.001, 0.500)
Pm (0.336, 0.336, 0.500)
Pm (0.499, 0.832, 0.000)
Pm (0.501, 0.168, 0.000)
Pm (0.664, 0.664, 0.500)
Pm (0.668, 0.999, 0.500)
Pm (0.832, 0.499, 0.000)
Pm (0.836, 0.164, 0.000)
Pm (0.999, 0.668, 0.500)
Mg (0.000, 0.000, 0.500)
Mg (0.500, 0.500, 0.000)

* calculated total energy: -4.354 eV per atom
* SG: P4_2/mnm
* spin magnetization: 0.0 Bohr magnetons per cell
* formation energy from the elements: 0.0197 eV per atom


No. 15
A plane-wave DFT calculation with PBE was carried out for Cs2LaSe2Br2 after structural relaxation.

Lattice parameters (Å, degrees): 10.223 10.223 10.223 147.25 147.25 46.99
Sites, in units of the cell vectors:
Cs (0.144, 0.144, 0.000)
Cs (0.856, 0.856, 0.000)
La (0.500, 0.500, 0.000)
Se (0.000, 0.500, 0.500)
Se (0.500, 0.000, 0.500)
Br (0.338, 0.338, 0.000)
Br (0.662, 0.662, 0.000)

* formation energy without anion corrections: -1.577 eV/atom
* calculated total energy: -3.998 eV per atom
* SG: I4/mmm
* spin magnetization: 0.0 Bohr magnetons per cell


No. 16
A plane-wave DFT calculation with PBE was carried out for TiSiTc2B after structural relaxation.

Lattice parameters (Å, degrees): 4.507 4.507 3.642 90.00 90.00 90.00
Sites, in units of the cell vectors:
Ti (0.000, 0.000, 0.000)
Si (0.500, 0.500, 0.500)
Tc (0.000, 0.500, 0.500)
Tc (0.500, 0.000, 0.500)
B (0.500, 0.500, 0.000)

* formation energy without anion corrections: 0.761 eV/atom
* calculated total energy: -7.385 eV per atom
* SG: P4/mmm
* spin magnetization: 0.0 Bohr magnetons per cell


No. 17
A plane-wave DFT calculation with PBE was carried out for AsIr2Rh after structural relaxation.

Lattice parameters (Å, degrees): 2.862 2.862 7.243 90.00 90.00 90.00
Sites, in units of the cell vectors:
As (0.000, 0.000, 0.000)
Ir (0.500, 0.500, 0.241)
Ir (0.500, 0.500, 0.759)
Rh (0.000, 0.000, 0.500)

* calculated total energy: -7.229 eV per atom
* SG: P4/mmm
* spin magnetization: 0.0 Bohr magnetons per cell
* formation energy from the elements: 0.2013 eV per atom


No. 18
A plane-wave DFT calculation with PBE was carried out for Pa6Te12Au after structural relaxation.

Lattice parameters (Å, degrees): 8.853 8.853 8.853 101.53 101.53 101.53
Sites, in units of the cell vectors:
Pa (0.131, 0.630, 0.806)
Pa (0.194, 0.869, 0.370)
Pa (0.370, 0.194, 0.869)
Pa (0.630, 0.806, 0.131)
Pa (0.806, 0.131, 0.630)
Pa (0.869, 0.370, 0.194)
Te (0.057, 0.916, 0.674)
Te (0.084, 0.326, 0.943)
Te (0.181, 0.546, 0.445)
Te (0.326, 0.943, 0.084)
Te (0.445, 0.181, 0.546)
Te (0.454, 0.555, 0.819)
Te (0.546, 0.445, 0.181)
Te (0.555, 0.819, 0.454)
Te (0.674, 0.057, 0.916)
Te (0.819, 0.454, 0.555)
Te (0.916, 0.674, 0.057)
Te (0.943, 0.084, 0.326)
Au (0.500, 0.500, 0.500)

* formation energy without anion corrections: -0.639 eV/atom
* calculated total energy: -5.794 eV per atom
* SG: R-3
* spin magnetization: 7.0 Bohr magnetons per cell


No. 19
A plane-wave DFT calculation with PBE was carried out for LaReHg2 after structural relaxation.

Lattice parameters (Å, degrees): 7.167 7.167 7.167 154.06 141.38 47.11
Sites, in units of the cell vectors:
La (0.000, 0.000, 0.000)
Re (0.179, 0.679, 0.500)
Hg (0.360, 0.360, 0.000)
Hg (0.688, 0.188, 0.500)

* calculated total energy: -4.152 eV per atom
* SG: Imm2
* spin magnetization: 0.0 Bohr magnetons per cell
* formation energy from the elements: 0.3424 eV per atom


No. 20
A plane-wave DFT calculation with PBE was carried out for YZr2P after structural relaxation.

Lattice parameters (Å, degrees): 3.495 3.495 7.258 90.00 90.00 90.00
Sites, in units of the cell vectors:
Y (0.000, 0.000, 0.000)
Zr (0.000, 0.000, 0.578)
Zr (0.500, 0.500, 0.313)
P (0.500, 0.500, 0.735)

* calculated total energy: -7.796 eV per atom
* SG: P4mm
* spin magnetization: 0.0 Bohr magnetons per cell
* formation energy from the elements: -0.5534 eV per atom


No. 21
A plane-wave DFT calculation with PBE was carried out for KAuN3 after structural relaxation.

Lattice parameters (Å, degrees): 4.276 4.276 4.276 90.00 90.00 90.00
Sites, in units of the cell vectors:
K (0.000, 0.000, 0.000)
Au (0.500, 0.500, 0.500)
N (0.000, 0.000, 0.500)
N (0.000, 0.500, 0.000)
N (0.500, 0.000, 0.000)

* formation energy without anion corrections: 3.691 eV/atom
* calculated total energy: -2.179 eV per atom
* SG: Pm-3m
* spin magnetization: 0.0 Bohr magnetons per cell


No. 22
A plane-wave DFT calculation with PBE was carried out for LiMg4Ni after structural relaxation.

Lattice parameters (Å, degrees): 5.596 5.596 5.596 60.00 60.00 60.00
Sites, in units of the cell vectors:
Li (0.000, 0.000, 0.000)
Mg (0.127, 0.624, 0.624)
Mg (0.624, 0.127, 0.624)
Mg (0.624, 0.624, 0.127)
Mg (0.624, 0.624, 0.624)
Ni (0.250, 0.250, 0.250)

* calculated total energy: -2.057 eV per atom
* SG: F-43m
* spin magnetization: 0.0 Bohr magnetons per cell
* formation energy from the elements: 0.2889 eV per atom


No. 23
A plane-wave DFT calculation with PBE was carried out for Fe2PbBr after structural relaxation.

Lattice parameters (Å, degrees): 4.890 4.890 4.890 60.00 60.00 60.00
Sites, in units of the cell vectors:
Fe (0.000, 0.000, 0.000)
Fe (0.250, 0.250, 0.250)
Pb (0.750, 0.750, 0.750)
Br (0.500, 0.500, 0.500)

* formation energy without anion corrections: 0.928 eV/atom
* calculated total energy: -4.649 eV per atom
* SG: F-43m
* spin magnetization: 5.8 Bohr magnetons per cell


No. 24
A plane-wave DFT calculation with PBE was carried out for NdSm5Dy2Y after structural relaxation.

Lattice parameters (Å, degrees): 10.558 10.558 10.689 90.00 90.00 148.89
Sites, in units of the cell vectors:
Nd (0.202, 0.798, 0.500)
Nd (0.798, 0.202, 0.000)
Sm (0.016, 0.984, 0.513)
Sm (0.280, 0.720, 0.798)
Sm (0.298, 0.702, 0.195)
Sm (0.393, 0.607, 0.515)
Sm (0.479, 0.521, 0.231)
Sm (0.521, 0.479, 0.731)
Sm (0.607, 0.393, 0.015)
Sm (0.702, 0.298, 0.695)
Sm (0.720, 0.280, 0.298)
Sm (0.984, 0.016, 0.013)
Dy (0.111, 0.889, 0.226)
Dy (0.116, 0.884, 0.808)
Dy (0.884, 0.116, 0.308)
Dy (0.889, 0.111, 0.726)
Y (0.411, 0.589, 0.945)
Y (0.589, 0.411, 0.445)

* calculated total energy: -4.741 eV per atom
* SG: Cmc2_1
* spin magnetization: 0.0 Bohr magnetons per cell
* formation energy from the elements: 0.1517 eV per atom


No. 25
A plane-wave DFT calculation with PBE was carried out for Sc4GaSe2S after structural relaxation.

Lattice parameters (Å, degrees): 6.680 3.783 6.718 90.00 108.88 90.00
Sites, in units of the cell vectors:
Sc (0.244, 0.000, 0.232)
Sc (0.251, 0.500, 0.758)
Sc (0.749, 0.500, 0.242)
Sc (0.756, 0.000, 0.768)
Ga (0.500, 0.000, 0.000)
Se (0.000, 0.000, 0.500)
Se (0.500, 0.500, 0.500)
S (0.000, 0.500, 0.000)

* formation energy without anion corrections: -1.412 eV/atom
* calculated total energy: -6.344 eV per atom
* SG: P2/m
* spin magnetization: 0.0 Bohr magnetons per cell